Material: SrAcCdHg
Method: DFT, PBE
State: relaxed

Properties
- Energy of formation: -0.425 eV per atom
- Total DFT energy (no corrections): -2.1772 eV per atom
- ρ: 7.9 g cm⁻³

Cell lengths 8.084, 8.084, 8.084 Å; angles 90.00, 90.00, 90.00 degrees
Space group F-43m (No. 216)
Symmetry-distinct sites (fractional):
Sr (0.000, 0.000, 0.000) (multiplicity 4)
Ac (0.000, 0.000, 0.500) (multiplicity 4)
Cd (0.250, 0.250, 0.750) (multiplicity 4)
Hg (0.250, 0.250, 0.250) (multiplicity 4)